# TlBi2PtO6

Crystalline TlBi2PtO6 at its relaxed geometry (PBE-GGA, Alexandria via LeMat-Bulk).

Values from the calculation:
As for the crystal system: trigonal. As for the total magnetization: 0.0 μB per formula unit.

```
10
Lattice="5.930 0.001 0.000 2.965 5.135 0.000 2.965 1.713 5.108" Properties=species:S:1:pos:R:3 pbc="T T T"
O 8.230 3.409 1.204
O 4.767 1.440 1.204
O 6.650 2.049 3.939
O 4.794 5.423 1.204
O 6.761 4.735 3.938
O 4.379 3.488 3.938
Pt 2.965 1.712 0.159
Bi 2.965 1.713 4.854
Bi 5.930 3.425 2.083
Tl 8.895 5.136 3.096
```

# Pm5NdRh6

Crystalline Pm5NdRh6 at its relaxed geometry (PBE-GGA, Alexandria via LeMat-Bulk).

Values from the calculation:
As for the crystal system: monoclinic. The value obtained for the calculated formation energy is -678 meV per atom. As for the total magnetization: 0.0 μB per formula unit.

```
12
Lattice="4.947 -0.316 0.805 -0.019 6.410 2.629 1.152 0.232 8.575" Properties=species:S:1:pos:R:3 pbc="T T T"
Pm 4.052 4.217 8.008
Pm 2.028 2.110 4.002
Pm 2.017 5.312 5.322
Pm 4.063 1.014 6.688
Pm -0.010 3.205 1.314
Rh 1.584 2.782 6.939
Rh 4.506 0.350 3.760
Rh 2.469 1.455 1.064
Rh 3.611 4.871 10.945
Rh 1.574 5.977 8.249
Rh 4.496 3.544 5.071
Nd 0.000 0.000 0.000
```

# RuSeI2N

Crystalline RuSeI2N at its relaxed geometry (PBE-GGA, Alexandria via LeMat-Bulk).

Values from the calculation:
As for the crystal system: tetragonal. The excess energy over the best structure of this formula in the dataset is 0.0 kJ/mol of atoms. As for the total magnetization: 0.0 μB per formula unit.

```
5
Lattice="5.554 0.000 0.000 0.000 5.554 0.000 0.000 0.000 3.712" Properties=species:S:1:pos:R:3 pbc="T T T"
Se 2.777 2.777 1.856
I 2.777 0.000 0.000
I 0.000 2.777 0.000
Ru 0.000 0.000 0.000
N 0.000 0.000 1.856
```

# Ru5C

Crystalline Ru5C at its relaxed geometry (PBE-GGA, Alexandria via LeMat-Bulk).

Values from the calculation:
As for the crystal system: tetragonal. The excess energy over the best structure of this formula in the dataset is 8.5 kJ/mol of atoms. The value obtained for the calculated formation energy is 396 meV per atom. As for the total magnetization: 0.0 μB per formula unit.

```
6
Lattice="-1.850 -1.959 0.189 1.896 -1.843 -0.552 2.010 -0.930 10.004" Properties=species:S:1:pos:R:3 pbc="T T T"
C 0.023 -1.901 -0.181
Ru 1.005 -0.465 5.002
Ru 1.759 -0.814 8.755
Ru 0.652 -2.192 2.951
Ru 0.251 -0.116 1.249
Ru 1.403 -2.540 6.691
```

# PmSb4Pb

Crystalline PmSb4Pb at its relaxed geometry (PBE-GGA, Alexandria via LeMat-Bulk).

Values from the calculation:
As for the crystal system: cubic. As for the total magnetization: 0.0 μB per formula unit.

```
6
Lattice="-1.342 1.446 -5.981 -3.531 -3.897 -3.465 -5.864 1.649 -1.602" Properties=species:S:1:pos:R:3 pbc="T T T"
Sb -6.712 -0.502 -6.906
Sb -6.040 -1.225 -3.913
Sb -3.778 -1.327 -6.105
Sb -4.945 1.448 -5.172
Pb 0.000 0.000 0.000
Pm -2.684 -0.201 -2.762
```

# Th2ZnGe2Ru5

Crystalline Th2ZnGe2Ru5 at its relaxed geometry (PBE-GGA, Alexandria via LeMat-Bulk).

Values from the calculation:
As for the crystal system: tetragonal. The value obtained for the calculated formation energy is -366 meV per atom. As for the total magnetization: 0.0 μB per formula unit.

```
20
Lattice="3.504 0.000 0.000 0.000 10.052 0.000 0.000 0.000 10.052" Properties=species:S:1:pos:R:3 pbc="T T T"
Th 0.000 6.782 1.756
Th 0.000 1.756 3.270
Th 0.000 3.270 8.296
Th 0.000 8.296 6.782
Ge 0.000 8.802 3.776
Ge 0.000 6.275 8.802
Ge 0.000 3.776 1.250
Ge 0.000 1.250 6.275
Ru 1.752 4.342 2.932
Ru 1.752 5.026 0.000
Ru 1.752 2.094 0.684
Ru 1.752 9.368 2.094
Ru 1.752 5.710 7.120
Ru 1.752 0.684 7.958
Ru 1.752 7.120 4.342
Ru 1.752 0.000 5.026
Ru 1.752 2.932 5.710
Ru 1.752 7.958 9.368
Zn 0.000 0.000 0.000
Zn 0.000 5.026 5.026
```

# SrHf2NiN4

Crystalline SrHf2NiN4 at its relaxed geometry (PBE-GGA, Alexandria via LeMat-Bulk).

Values from the calculation:
As for the crystal system: orthorhombic. As for the total magnetization: 0.0 μB per formula unit.

```
16
Lattice="3.259 0.000 0.000 -1.629 5.553 0.000 0.000 0.000 11.252" Properties=species:S:1:pos:R:3 pbc="T T T"
N 0.000 0.000 5.626
N 0.000 2.885 4.439
N 0.000 4.716 8.439
N 1.629 2.668 6.813
N 1.629 0.837 2.813
N 0.000 2.885 1.187
N 1.629 2.668 10.065
N 0.000 0.000 0.000
Hf 0.000 4.065 6.210
Hf 0.000 4.065 10.668
Hf 1.629 1.488 0.584
Hf 1.629 1.488 5.042
Ni 0.000 1.794 2.813
Ni 1.629 3.759 8.439
Sr 1.629 4.376 2.813
Sr 0.000 1.177 8.439
```

# BaCaB

Crystalline BaCaB at its relaxed geometry (PBE-GGA, Alexandria via LeMat-Bulk).

Values from the calculation:
As for the crystal system: orthorhombic. The excess energy over the best structure of this formula in the dataset is 1.7 kJ/mol of atoms. The value obtained for the calculated formation energy is 170 meV per atom. As for the total magnetization: 0.0 μB per formula unit.

```
12
Lattice="-2.646 -2.421 -2.428 2.738 -10.328 7.313 -5.483 1.628 4.352" Properties=species:S:1:pos:R:3 pbc="T T T"
Ca -5.469 1.624 4.340
Ca -3.805 -3.628 7.763
Ca -2.681 -5.565 4.607
Ca -3.756 -0.488 0.717
B -5.553 -0.531 2.717
B -0.451 -4.047 4.527
B -0.119 -5.298 5.412
B -3.146 -9.608 9.145
Ba -0.042 -8.484 4.643
Ba -2.830 -1.296 4.376
Ba -1.272 -3.847 1.359
Ba -1.321 -6.986 8.406
```

# La5PSe4

Crystalline La5PSe4 at its relaxed geometry (PBE-GGA, Alexandria via LeMat-Bulk).

Values from the calculation:
As for the crystal system: tetragonal. As for the total magnetization: 0.0 μB per formula unit.

```
10
Lattice="-1.036 1.330 -3.961 -3.105 -2.976 -0.188 -7.829 10.775 8.006" Properties=species:S:1:pos:R:3 pbc="T T T"
P 0.000 0.000 0.000
La -10.067 7.216 2.717
La -2.070 -0.823 -2.074
La -6.058 3.186 0.315
La -1.903 1.913 1.140
La -5.911 5.943 3.542
Se -3.924 3.945 2.351
Se -8.045 5.183 1.506
Se -4.061 1.178 -0.881
Se -7.908 7.950 4.738
```

# GePbAu4

Crystalline GePbAu4 at its relaxed geometry (PBE-GGA, Alexandria via LeMat-Bulk).

Values from the calculation:
As for the crystal system: monoclinic. The excess energy over the best structure of this formula in the dataset is 0.0 kJ/mol of atoms. The value obtained for the calculated formation energy is -12 meV per atom. As for the total magnetization: 0.0 μB per formula unit.

```
12
Lattice="7.262 0.000 2.223 0.000 6.796 0.000 0.732 -3.398 5.420" Properties=species:S:1:pos:R:3 pbc="T T T"
Au 0.000 5.354 0.000
Au 2.212 3.398 3.256
Au 4.292 1.448 2.405
Au 3.702 1.950 5.238
Au 0.000 1.442 0.000
Au 5.782 0.000 4.387
Au 4.292 5.349 2.405
Au 3.702 -1.950 5.238
Ge 6.385 0.000 6.845
Ge 1.609 3.398 0.798
Pb 1.627 0.000 2.550
Pb 6.367 3.398 5.093
```

# ZrBe2P

Crystalline ZrBe2P at its relaxed geometry (PBE-GGA, Alexandria via LeMat-Bulk).

Values from the calculation:
As for the crystal system: tetragonal. The value obtained for the calculated formation energy is -78 meV per atom. As for the total magnetization: 0.0 μB per formula unit.

```
4
Lattice="3.065 0.014 0.000 -0.015 3.065 0.000 0.000 0.000 5.620" Properties=species:S:1:pos:R:3 pbc="T T T"
Be 0.000 0.000 2.436
Be 0.000 0.000 0.374
Zr 1.525 1.539 4.215
P 1.525 1.539 1.405
```

# KCr3Ni

Crystalline KCr3Ni at its relaxed geometry (PBE-GGA, Alexandria via LeMat-Bulk).

Values from the calculation:
As for the crystal system: cubic. The excess energy over the best structure of this formula in the dataset is 164.2 kJ/mol of atoms. The value obtained for the calculated formation energy is 2903 meV per atom. As for the total magnetization: 0.0 μB per formula unit.

```
5
Lattice="4.126 0.000 0.000 0.000 4.126 0.000 0.000 0.000 4.126" Properties=species:S:1:pos:R:3 pbc="T T T"
Cr 2.063 0.000 0.000
Cr 0.000 0.000 2.063
Cr 0.000 2.063 0.000
K 0.000 0.000 0.000
Ni 2.063 2.063 2.063
```

# CeSmAs

Crystalline CeSmAs at its relaxed geometry (PBE-GGA, Alexandria via LeMat-Bulk).

Values from the calculation:
As for the crystal system: tetragonal. The value obtained for the calculated formation energy is -680 meV per atom. As for the total magnetization: 1.0 μB per formula unit.

```
3
Lattice="3.838 0.000 0.000 0.000 3.838 0.000 -1.919 -1.919 5.364" Properties=species:S:1:pos:R:3 pbc="T T T"
As 0.000 0.000 2.986
Sm 1.919 1.919 1.556
Ce 1.919 1.919 4.578
```

# TbPmNd2Er4

Crystalline TbPmNd2Er4 at its relaxed geometry (PBE-GGA, Alexandria via LeMat-Bulk).

Values from the calculation:
As for the crystal system: monoclinic. The value obtained for the calculated formation energy is 419 meV per atom. As for the total magnetization: 2.5 μB per formula unit.

```
16
Lattice="-8.475 -0.355 -4.311 -3.810 -4.789 7.286 7.712 8.960 0.323" Properties=species:S:1:pos:R:3 pbc="T T T"
Pm -6.523 1.731 -0.506
Pm -1.905 -2.394 3.643
Nd -0.381 4.303 -1.994
Nd -4.237 -0.178 -2.155
Nd -6.142 -2.572 1.488
Nd 3.856 4.480 0.162
Er 2.751 5.267 4.742
Er -7.323 -1.450 -1.443
Er -3.054 -1.256 0.750
Er -1.132 0.812 4.515
Er 0.769 3.164 0.902
Er -3.440 3.005 -1.217
Er -1.518 5.073 2.548
Er -5.341 0.653 2.396
Tb -0.762 8.605 -3.987
Tb -2.286 1.908 1.649
```

# PaSF2

Crystalline PaSF2 at its relaxed geometry (PBE-GGA, Alexandria via LeMat-Bulk).

Values from the calculation:
As for the crystal system: tetragonal. As for the total magnetization: 0.5 μB per formula unit.

```
8
Lattice="3.825 0.000 0.000 0.000 3.825 0.000 0.000 0.000 9.774" Properties=species:S:1:pos:R:3 pbc="T T T"
F 0.000 1.912 1.062
F 0.000 0.000 4.887
F 1.912 0.000 8.712
F 1.912 1.912 4.887
S 1.912 0.000 2.484
S 0.000 1.912 7.289
Pa 0.000 1.912 3.086
Pa 1.912 0.000 6.687
```

# AlBC

Crystalline AlBC at its relaxed geometry (PBE-GGA, Alexandria via LeMat-Bulk).

Values from the calculation:
As for the crystal system: orthorhombic. The excess energy over the best structure of this formula in the dataset is 35.3 kJ/mol of atoms. The value obtained for the calculated formation energy is 347 meV per atom. As for the total magnetization: 0.0 μB per formula unit.

```
12
Lattice="-2.434 0.086 -1.816 2.727 -3.958 -3.842 -2.586 -4.920 3.233" Properties=species:S:1:pos:R:3 pbc="T T T"
C -1.552 -0.593 -0.490
C -2.021 -6.058 -0.120
C -2.091 -1.620 0.184
C -1.481 -5.032 -0.794
B -0.034 -2.279 -2.604
B 0.828 -2.998 -1.251
B -2.691 -2.760 0.934
B -1.829 -3.479 2.286
Al 2.154 -3.143 -3.036
Al 0.563 -0.833 -0.794
Al 0.633 -5.272 -1.098
Al -0.502 -3.624 0.501
```

# MgTe4As

Crystalline MgTe4As at its relaxed geometry (PBE-GGA, Alexandria via LeMat-Bulk).

Values from the calculation:
As for the crystal system: cubic. As for the total magnetization: 0.0 μB per formula unit.

```
6
Lattice="-6.100 -1.481 0.072 -4.310 4.490 0.818 -3.701 1.706 -4.775" Properties=species:S:1:pos:R:3 pbc="T T T"
Te -7.446 4.009 -1.050
Te -8.339 1.031 -1.422
Te -5.296 1.769 -1.458
Te -7.142 2.620 -3.840
Mg 0.000 0.000 0.000
As -10.583 3.536 -2.913
```

# CeCu5Ag

Crystalline CeCu5Ag at its relaxed geometry (PBE-GGA, Alexandria via LeMat-Bulk).

Values from the calculation:
As for the crystal system: orthorhombic. The value obtained for the calculated formation energy is -126 meV per atom. As for the total magnetization: 0.6 μB per formula unit.

```
28
Lattice="5.037 0.000 0.000 0.000 8.292 0.000 0.000 0.000 10.433" Properties=species:S:1:pos:R:3 pbc="T T T"
Cu 1.259 4.861 0.160
Cu 2.527 7.738 3.256
Cu 3.778 2.608 7.887
Cu 1.259 7.862 1.106
Cu 3.778 0.430 9.327
Cu 0.008 4.700 8.473
Cu 1.259 3.716 4.110
Cu 2.511 4.700 8.473
Cu 0.008 0.554 7.177
Cu 1.259 1.538 2.670
Cu 3.778 3.432 10.274
Cu 5.029 7.738 3.256
Cu 2.511 0.554 7.177
Cu 1.259 0.714 5.057
Cu 2.527 3.592 1.960
Cu 3.778 7.578 5.376
Cu 3.778 4.576 6.323
Cu 3.778 6.755 7.763
Cu 1.259 5.684 2.546
Cu 5.029 3.592 1.960
Ce 1.259 6.165 5.887
Ce 1.259 2.019 9.763
Ce 3.778 6.273 0.671
Ce 3.778 2.127 4.546
Ag 3.778 5.302 3.780
Ag 3.778 1.155 1.437
Ag 1.259 7.137 8.996
Ag 1.259 2.991 6.654
```

# YCCl3

Crystalline YCCl3 at its relaxed geometry (PBE-GGA, Alexandria via LeMat-Bulk).

Values from the calculation:
As for the crystal system: cubic. The excess energy over the best structure of this formula in the dataset is 0.0 kJ/mol of atoms. As for the total magnetization: 2.0 μB per formula unit.

```
5
Lattice="-1.120 3.030 4.193 -4.995 0.483 -1.683 -1.346 -4.313 2.757" Properties=species:S:1:pos:R:3 pbc="T T T"
Cl -0.560 1.515 2.096
Cl -0.673 -2.157 1.379
Cl -2.497 0.241 -0.842
C -3.731 -0.400 2.633
Y 0.000 0.000 0.000
```

# BSbO3

Crystalline BSbO3 at its relaxed geometry (PBE-GGA, Alexandria via LeMat-Bulk).

Values from the calculation:
As for the crystal system: cubic. As for the total magnetization: 0.0 μB per formula unit.

```
5
Lattice="3.486 0.000 0.000 0.000 3.486 0.000 0.000 0.000 3.486" Properties=species:S:1:pos:R:3 pbc="T T T"
Sb 1.743 1.743 1.743
B 0.000 0.000 0.000
O 0.000 1.743 0.000
O 1.743 0.000 0.000
O 0.000 0.000 1.743
```

Number 1: raw total energy -0.1988 Ha/atom, N(E_F) 0.40 states/eV/atom. Number 2: raw total energy -0.2474 Ha/atom, N(E_F) 0.62 states/eV/atom. Number 3: raw total energy -0.1563 Ha/atom, N(E_F) 0.88 states/eV/atom. Number 4: raw total energy -0.3260 Ha/atom, N(E_F) 0.79 states/eV/atom. Number 5: raw total energy -0.1557 Ha/atom, N(E_F) 0.87 states/eV/atom. Number 6: raw total energy -0.2770 Ha/atom, N(E_F) 0.63 states/eV/atom. Number 7: raw total energy -0.3214 Ha/atom, N(E_F) 0.41 states/eV/atom. Number 8: raw total energy -0.1236 Ha/atom, N(E_F) 0.47 states/eV/atom. Number 9: raw total energy -0.2330 Ha/atom, N(E_F) 0.48 states/eV/atom. Number 10: raw total energy -0.1317 Ha/atom, N(E_F) 0.33 states/eV/atom. Number 11: raw total energy -0.1996 Ha/atom, N(E_F) 0.52 states/eV/atom. Number 12: raw total energy -0.1561 Ha/atom, N(E_F) 0.85 states/eV/atom. Number 13: raw total energy -0.2125 Ha/atom, N(E_F) 2.20 states/eV/atom. Number 14: raw total energy -0.1553 Ha/atom, N(E_F) 2.29 states/eV/atom. Number 15: raw total energy -0.2636 Ha/atom, N(E_F) 0.48 states/eV/atom. Number 16: raw total energy -0.2279 Ha/atom, N(E_F) 0.15 states/eV/atom. Number 17: raw total energy -0.0962 Ha/atom, N(E_F) 0.52 states/eV/atom. Number 18: raw total energy -0.1583 Ha/atom, N(E_F) 0.94 states/eV/atom. Number 19: raw total energy -0.1635 Ha/atom, N(E_F) 2.04 states/eV/atom. Number 20: raw total energy -0.2194 Ha/atom, N(E_F) 0.00 states/eV/atom.